No. 1
A plane-wave DFT calculation with GGA-PBE was carried out for a geometry-optimized YTlAgSe3 structure.

The structure in CIF format:
```
data_YTlAgSe3
_chemical_formula_sum 'Y4 Tl4 Ag4 Se12'
_cell_length_a 4.077
_cell_length_b 14.336
_cell_length_c 10.920
_cell_angle_alpha 90.00
_cell_angle_beta 90.00
_cell_angle_gamma 90.00
_symmetry_space_group_name_H-M 'C m c m'
_symmetry_Int_Tables_number 63
_symmetry_space_group_name_Hall '-C 2c 2'
loop_
_atom_site_label
_atom_site_fract_x
_atom_site_fract_y
_atom_site_fract_z
_atom_site_occupancy
Y1 0.000 0.000 0.000 1
Tl1 0.000 0.244 0.250 1
Ag1 0.000 0.462 0.750 1
Se1 0.000 0.079 0.750 1
Se2 0.000 0.364 0.548 1
```

No. 2
A plane-wave DFT calculation with GGA-PBE was carried out for a geometry-optimized YTlAgSe3 structure.

The structure in CIF format:
```
data_YTlAgSe3
_chemical_formula_sum 'Y4 Tl4 Ag4 Se12'
_cell_length_a 17.126
_cell_length_b 4.167
_cell_length_c 9.262
_cell_angle_alpha 90.00
_cell_angle_beta 104.87
_cell_angle_gamma 90.00
_symmetry_space_group_name_H-M 'C 1 2/m 1'
_symmetry_Int_Tables_number 12
_symmetry_space_group_name_Hall '-C 2y'
loop_
_atom_site_label
_atom_site_fract_x
_atom_site_fract_y
_atom_site_fract_z
_atom_site_occupancy
Y1 0.169 0.000 0.092 1
Tl1 0.139 0.000 0.571 1
Ag1 0.009 0.500 0.213 1
Se1 0.000 0.000 0.000 1
Se2 0.000 0.500 0.500 1
Se3 0.160 0.500 0.871 1
Se4 0.172 0.500 0.308 1
```

No. 3
# Tm2AgSe3 GGA-PBE optimized geometry
# * energy above the lowest structure with this stoichiometry: 371 meV/atom
data_Tm2AgSe3
_chemical_formula_sum 'Tm8 Ag4 Se12'
_cell_length_a 10.636
_cell_length_b 17.347
_cell_length_c 4.042
_cell_angle_alpha 90.00
_cell_angle_beta 90.00
_cell_angle_gamma 90.00
_symmetry_space_group_name_H-M 'P b a m'
_symmetry_Int_Tables_number 55
_symmetry_space_group_name_Hall '-P 2 2ab'
loop_
_atom_site_label
_atom_site_fract_x
_atom_site_fract_y
_atom_site_fract_z
_atom_site_occupancy
Tm1 0.131 0.242 0.000 1
Tm2 0.142 0.922 0.000 1
Ag1 0.131 0.555 0.000 1
Se1 0.105 0.400 0.000 1
Se2 0.121 0.765 0.000 1
Se3 0.126 0.082 0.000 1

Number 1: magnetic moment 0.00 μB/f.u., final energy -4.559 eV/atom. Number 2: magnetic moment 0.02 μB/f.u., final energy -4.560 eV/atom. Number 3: magnetic moment 0.64 μB/f.u., final energy -4.591 eV/atom.